Entry 1:
Material: TbSm2Y7
Method: DFT, PBE-GGA
State: relaxed

Cell: 5.5050 9.3379 9.3379 Å, 124.19 90.00 90.00°
Closest atoms and distances in Å follow each position.
Fractional coordinates of all 10 atoms:
Y 0.0000 0.2114 0.7886  2 Sm 3.09
Y 0.5000 0.9349 0.7105  2 Y 3.10-3.37, 2 Sm 3.19-3.42
Y 0.5000 0.2895 0.0651  2 Y 3.10-3.37, 2 Sm 3.19-3.42
Y 0.5000 0.0651 0.2895  2 Y 3.10-3.37, 2 Sm 3.19-3.42
Y 0.5000 0.5000 0.5000  2 Sm 3.35, 4 Y 3.37
Y 0.5000 0.7105 0.9349  2 Y 3.10-3.37, 2 Sm 3.19-3.42
Y 0.0000 0.7886 0.2114  2 Sm 3.09
Sm 0.5000 0.2970 0.7030  7 Y 3.09-3.42
Sm 0.5000 0.7030 0.2970  7 Y 3.09-3.42
Tb 0.0000 0.0000 0.0000  10 Y 3.49-3.66

As for the density of states at the Fermi level: 15.1 states/eV/f.u. The space group is Cmmm (65). For the calculated total energy, the calculation gives -5.237 eV/atom. Its formation energy is 0.694 eV per atom. As for the offset from the most stable computed form: 487.4 meV/atom. As for the total moment: 0.00 μB/f.u.

Entry 2:
Material: Tb2Sm7Y3
Method: DFT, PBE-GGA
State: relaxed

Cell: 3.6252 5.8597 18.9189 Å, 93.67 90.00 90.00°
Closest atoms and distances in Å follow each position.
Fractional coordinates of all 12 atoms:
Sm 0.0000 0.3210 0.8550  2 Tb 3.39, 2 Y 3.40, 7 Sm 3.42-3.63
Sm 0.5000 0.7420 0.4642  1 Tb 3.17, 2 Sm 3.22-3.23
Sm 0.0000 0.0000 0.0000  4 Sm 3.42-3.63, 4 Y 3.45
Sm 0.5000 0.8196 0.8194  6 Sm 3.48-3.63, 2 Tb 3.64-3.67
Sm 0.5000 0.2580 0.5358  1 Tb 3.17, 2 Sm 3.22-3.23
Sm 0.5000 0.1804 0.1806  6 Sm 3.48-3.63, 2 Tb 3.64-3.67
Sm 0.0000 0.6790 0.1450  2 Tb 3.39, 2 Y 3.40, 7 Sm 3.42-3.63
Tb 0.5000 0.7069 0.2965  3 Sm 3.17-3.39
Tb 0.5000 0.2931 0.7035  3 Sm 3.17-3.39
Y 0.5000 0.5000 0.0000  8 Sm 3.40-3.45, 2 Y 3.63
Y 0.0000 0.2185 0.3674  2 Y 3.63, 8 Sm 3.66-3.97, 4 Tb 3.68-3.71
Y 0.0000 0.7815 0.6326  2 Y 3.63, 8 Sm 3.66-3.97, 4 Tb 3.68-3.71

As for the density of states at the Fermi level: 16.4 states/eV/f.u. The space group is P2/m (10). For the calculated total energy, the calculation gives -5.057 eV/atom. Its formation energy is 0.083 eV per atom. As for the offset from the most stable computed form: 0.0 meV/atom. As for the total moment: 0.00 μB/f.u.

Entry 3:
Material: Tb2SmY
Method: DFT, PBE-GGA
State: relaxed

Cell: 3.6069 3.6069 11.7517 Å, 81.17 81.17 60.00°
Closest atoms and distances in Å follow each position.
Fractional coordinates of all 4 atoms:
Tb 0.2492 0.2492 0.2524  3 Y 3.53, 3 Sm 3.58, 6 Tb 3.61
Tb 0.0839 0.0839 0.7483  3 Y 3.56, 3 Sm 3.58, 6 Tb 3.61
Sm 0.6666 0.6666 0.0003  6 Tb 3.58, 6 Sm 3.61
Y 0.5004 0.5004 0.4990  6 Tb 3.53-3.56, 6 Y 3.61

As for the density of states at the Fermi level: 6.3 states/eV/f.u. The space group is R3m (160). For the calculated total energy, the calculation gives -5.104 eV/atom. Its formation energy is 0.007 eV per atom. As for the offset from the most stable computed form: 0.0 meV/atom. As for the total moment: 0.00 μB/f.u.

Entry 4:
Material: Tb3Sm5Y2
Method: DFT, PBE-GGA
State: relaxed

Cell: 10.9822 9.9564 9.9564 Å, 56.38 56.53 56.53°
Closest atoms and distances in Å follow each position.
Fractional coordinates of all 20 atoms:
Sm 0.1245 0.4714 0.2796  1 Y 2.92
Sm 0.8755 0.5286 0.7204  1 Y 2.92
Sm 0.6245 0.2796 0.4714  1 Y 2.92
Sm 0.3755 0.7204 0.5286  1 Y 2.92
Sm 0.7500 0.5000 0.5000  6 Sm 3.35-3.43
Sm 0.9997 0.7503 0.7503  2 Y 3.35, 3 Sm 3.36-3.43, 1 Tb 3.42
Sm 0.2500 0.5000 0.5000  6 Sm 3.35-3.43
Sm 0.4997 0.7503 0.7503  2 Y 3.35, 3 Sm 3.36-3.43, 1 Tb 3.42
Sm 0.5003 0.2497 0.2497  2 Y 3.35, 3 Sm 3.36-3.43, 1 Tb 3.42
Sm 0.0003 0.2497 0.2497  2 Y 3.35, 3 Sm 3.36-3.43, 1 Tb 3.42
Y 0.3752 0.0313 0.2183  1 Sm 2.92, 1 Tb 3.21
Y 0.8752 0.2183 0.0313  1 Sm 2.92, 1 Tb 3.21
Y 0.1248 0.7817 0.9687  1 Sm 2.92, 1 Tb 3.21
Y 0.6248 0.9687 0.7817  1 Sm 2.92, 1 Tb 3.21
Tb 0.2500 0.0000 0.0000  4 Y 3.35, 2 Sm 3.42
Tb 0.3757 0.3723 0.8764  1 Y 3.21, 1 Sm 3.27
Tb 0.7500 0.0000 0.0000  4 Y 3.35, 2 Sm 3.42
Tb 0.1243 0.1236 0.6277  1 Y 3.21, 1 Sm 3.27
Tb 0.8757 0.8764 0.3723  1 Y 3.21, 1 Sm 3.27
Tb 0.6243 0.6277 0.1236  1 Y 3.21, 1 Sm 3.27

As for the density of states at the Fermi level: 15.7 states/eV/f.u. The space group is Ibam (72). For the calculated total energy, the calculation gives -4.651 eV/atom. Its formation energy is 0.390 eV per atom. As for the offset from the most stable computed form: 200.1 meV/atom. As for the total moment: 0.00 μB/f.u.

Entry 5:
Material: TbSm12Y5
Method: DFT, PBE-GGA
State: relaxed

Cell: 15.2923 10.8234 5.1074 Å, 90.02 90.03 45.05°
Closest atoms and distances in Å follow each position.
Fractional coordinates of all 18 atoms:
Sm 0.8339 0.0000 0.5000  2 Y 3.60, 2 Tb 3.60, 8 Sm 3.61-3.62
Sm 0.1667 0.3333 0.5000  4 Y 3.61, 8 Sm 3.61
Sm 0.1661 0.0000 0.5000  2 Y 3.60, 2 Tb 3.60, 8 Sm 3.61-3.62
Sm 0.0001 0.6670 0.0000  1 Tb 3.60, 3 Y 3.60-3.61, 8 Sm 3.61-3.62
Sm 0.6671 0.3330 0.0000  1 Tb 3.60, 3 Y 3.60-3.61, 8 Sm 3.61-3.62
Sm 0.3329 0.6670 0.0000  1 Tb 3.60, 3 Y 3.60-3.61, 8 Sm 3.61-3.62
Sm 0.8333 0.6667 0.5000  4 Y 3.61, 8 Sm 3.61
Sm 0.3334 0.0000 0.0000  4 Y 3.61, 8 Sm 3.61-3.62
Sm 0.4999 0.6667 0.5000  4 Y 3.61, 8 Sm 3.61
Sm 0.5001 0.3333 0.5000  4 Y 3.61, 8 Sm 3.61
Sm 0.6666 0.0000 0.0000  4 Y 3.61, 8 Sm 3.61-3.62
Sm 0.9999 0.3330 0.0000  1 Tb 3.60, 3 Y 3.60-3.61, 8 Sm 3.61-3.62
Tb 0.0000 0.0000 0.0000  8 Sm 3.60, 4 Y 3.61
Y 0.3335 0.3330 0.0000  8 Sm 3.61, 4 Y 3.61
Y 0.6665 0.6670 0.0000  8 Sm 3.61, 4 Y 3.61
Y 0.8335 0.3331 0.5000  8 Sm 3.60-3.61, 2 Tb 3.61, 2 Y 3.61
Y 0.5000 0.0000 0.5000  8 Sm 3.61, 4 Y 3.61
Y 0.1665 0.6669 0.5000  8 Sm 3.60-3.61, 2 Tb 3.61, 2 Y 3.61

As for the density of states at the Fermi level: 26.3 states/eV/f.u. The space group is Cmmm (65). For the calculated total energy, the calculation gives -5.182 eV/atom. Its formation energy is 0.017 eV per atom. As for the total moment: 0.00 μB/f.u.

Entry 6:
Material: TbSm3Y6
Method: DFT, PBE-GGA
State: relaxed

Cell: 6.3752 10.9451 10.9451 Å, 119.76 90.00 90.00°
Closest atoms and distances in Å follow each position.
Fractional coordinates of all 20 atoms:
Sm 0.5689 0.6123 0.3877  7 Y 3.43-3.77, 1 Tb 3.62, 2 Sm 3.64
Sm 0.9576 0.0624 0.2879  1 Tb 3.22, 6 Y 3.32-3.55
Sm 0.4576 0.2879 0.0624  1 Tb 3.22, 6 Y 3.32-3.55
Sm 0.4576 0.9376 0.7121  1 Tb 3.22, 6 Y 3.32-3.55
Sm 0.9576 0.7121 0.9376  1 Tb 3.22, 6 Y 3.32-3.55
Sm 0.0689 0.3877 0.6123  7 Y 3.43-3.77, 1 Tb 3.62, 2 Sm 3.64
Y 0.3681 0.5314 0.9483  5 Y 3.23-3.56, 2 Sm 3.32-3.51, 2 Tb 3.35-3.49
Y 0.3681 0.0517 0.4686  5 Y 3.23-3.56, 2 Sm 3.32-3.51, 2 Tb 3.35-3.49
Y 0.8681 0.4686 0.0517  5 Y 3.23-3.56, 2 Sm 3.32-3.51, 2 Tb 3.35-3.49
Y 0.5465 0.2895 0.3789  4 Y 3.40-3.64, 4 Sm 3.40-3.77
Y 0.1555 0.7280 0.2720  4 Y 3.23-3.38, 2 Tb 3.39-3.57, 1 Sm 3.43
Y 0.5465 0.6211 0.7105  4 Y 3.40-3.64, 4 Sm 3.40-3.77
Y 0.0465 0.7105 0.6211  4 Y 3.40-3.64, 4 Sm 3.40-3.77
Y 0.6555 0.2720 0.7280  4 Y 3.23-3.38, 2 Tb 3.39-3.57, 1 Sm 3.43
Y 0.8764 0.0423 0.9577  1 Tb 3.39, 4 Sm 3.55, 2 Y 3.57
Y 0.0465 0.3789 0.2895  4 Y 3.40-3.64, 4 Sm 3.40-3.77
Y 0.8681 0.9483 0.5314  5 Y 3.23-3.56, 2 Sm 3.32-3.51, 2 Tb 3.35-3.49
Y 0.3764 0.9577 0.0423  1 Tb 3.39, 4 Sm 3.55, 2 Y 3.57
Tb 0.1403 0.1979 0.8021  2 Sm 3.22, 7 Y 3.35-3.57
Tb 0.6403 0.8021 0.1979  2 Sm 3.22, 7 Y 3.35-3.57

As for the density of states at the Fermi level: 14.7 states/eV/f.u. The space group is Cmc2_1 (36). For the calculated total energy, the calculation gives -5.614 eV/atom. Its formation energy is 0.143 eV per atom. As for the offset from the most stable computed form: 33.1 meV/atom. As for the total moment: 0.00 μB/f.u.

Entry 7:
Material: Tb2SmY
Method: DFT, PBE-GGA
State: relaxed

Cell: 3.5811 3.5811 11.8590 Å, 81.32 81.32 60.00°
Closest atoms and distances in Å follow each position.
Fractional coordinates of all 4 atoms:
Tb 0.2495 0.2495 0.2515  3 Y 3.56, 6 Tb 3.58, 3 Sm 3.59
Tb 0.7505 0.7505 0.7485  3 Y 3.56, 6 Tb 3.58, 3 Sm 3.59
Y 0.5000 0.5000 0.5000  6 Tb 3.56, 6 Y 3.58
Sm 0.0000 0.0000 0.0000  6 Sm 3.58, 6 Tb 3.59

As for the density of states at the Fermi level: 5.7 states/eV/f.u. The space group is R-3m (166). For the calculated total energy, the calculation gives -5.094 eV/atom. Its formation energy is 0.017 eV per atom. As for the offset from the most stable computed form: 10.3 meV/atom. As for the total moment: 0.00 μB/f.u.

Entry 8:
Material: Tb8Sm5Y
Method: DFT, PBE-GGA
State: relaxed

Cell: 3.5549 16.9010 8.8636 Å, 62.43 101.57 90.00°
Closest atoms and distances in Å follow each position.
Fractional coordinates of all 14 atoms:
Tb 0.0791 0.2779 0.1583  7 Tb 3.55-3.78, 4 Sm 3.65-3.77, 2 Y 3.78
Tb 0.2160 0.8545 0.4320  3 Sm 3.16-3.38
Tb 0.9209 0.7221 0.8417  7 Tb 3.55-3.78, 4 Sm 3.65-3.77, 2 Y 3.78
Tb 0.4185 0.2230 0.8370  8 Tb 3.55-3.78, 5 Sm 3.60-3.78
Tb 0.1470 0.5582 0.2940  3 Sm 3.35-3.53, 5 Tb 3.55-3.63, 2 Y 3.61
Tb 0.7841 0.1455 0.5682  3 Sm 3.16-3.38
Tb 0.5815 0.7771 0.1631  8 Tb 3.55-3.78, 5 Sm 3.59-3.78
Tb 0.8529 0.4419 0.7057  3 Sm 3.35-3.53, 5 Tb 3.55-3.63, 2 Y 3.61
Sm 0.6457 0.0586 0.2914  4 Tb 3.36-3.60, 6 Sm 3.55-3.67
Sm 0.0001 0.0000 0.0001  2 Tb 3.38, 6 Sm 3.55-3.59
Sm 0.7142 0.3556 0.4284  4 Tb 3.16-3.53, 1 Y 3.35
Sm 0.3544 0.9414 0.7088  4 Tb 3.36-3.59, 6 Sm 3.55-3.67
Sm 0.2857 0.6444 0.5714  4 Tb 3.16-3.53, 1 Y 3.35
Y 0.4999 0.5000 0.9999  2 Sm 3.35, 2 Y 3.55, 4 Tb 3.61

As for the density of states at the Fermi level: 21.2 states/eV/f.u. The space group is C2/m (12). For the calculated total energy, the calculation gives -4.751 eV/atom. Its formation energy is 0.042 eV per atom. As for the total moment: 0.00 μB/f.u.